Record 1
TbGaBRu2 after structural relaxation. Source: Alexandria via LeMat-Bulk, functional PBE-GGA.

Results
The density is 9.0 g/cm³. The crystal system is orthorhombic. The value obtained for the formation energy is -0.43 eV per atom.

abc: 4.0433 10.9782 7.3821
angles: 90.00 90.00 90.00
Space group Cmcm (No. 63)
Unique sites:
1 Tb 0.0000 0.0471 0.2500 (multiplicity 4)
2 Ga 0.0000 0.2290 0.7500 (multiplicity 4)
3 B 0.0000 0.5000 0.0000 (multiplicity 4)
4 Ru 0.0000 0.3274 0.0591 (multiplicity 8)



Record 2
Tb3Ga2BRu3 after structural relaxation. Source: Alexandria via LeMat-Bulk, functional PBE-GGA.

Results
The density is 9.7 g/cm³. The crystal system is hexagonal. The value obtained for the formation energy is -0.44 eV per atom.

abc: 7.2604 7.2604 3.5009
angles: 90.00 90.00 120.00
Space group P-62m (No. 189)
Unique sites:
1 Tb 0.0000 0.6357 0.0000 (multiplicity 3)
2 Ga 0.3333 0.6667 0.5000 (multiplicity 2)
3 B 0.0000 0.0000 0.0000 (multiplicity 1)
4 Ru 0.0000 0.2264 0.5000 (multiplicity 3)



Record 3
ThGaBRu3 after structural relaxation. Source: Alexandria via LeMat-Bulk, functional PBE-GGA.

Results
The density is 10.3 g/cm³. The crystal system is orthorhombic. The value obtained for the formation energy is -0.32 eV per atom.

abc: 5.7116 11.8943 5.8627
angles: 90.00 90.00 90.00
Space group Cmcm (No. 63)
Unique sites:
1 Th 0.0000 0.2426 0.2500 (multiplicity 4)
2 Ga 0.0000 0.1293 0.7500 (multiplicity 4)
3 B 0.0000 0.4823 0.2500 (multiplicity 4)
4 Ru 0.0000 0.3356 0.7500 (multiplicity 4)
5 Ru 0.2475 0.0000 0.0000 (multiplicity 8)



Record 4
Ti2GaB2Ru5 after structural relaxation. Source: Alexandria via LeMat-Bulk, functional PBE-GGA.

Results
The density is 9.0 g/cm³. The crystal system is tetragonal. The value obtained for the formation energy is -0.58 eV per atom.

abc: 9.2121 9.2121 3.0059
angles: 90.00 90.00 90.00
Space group P4/mbm (No. 127)
Unique sites:
1 Ti 0.1750 0.3250 0.0000 (multiplicity 4)
2 Ga 0.0000 0.0000 0.0000 (multiplicity 2)
3 B 0.1261 0.6261 0.0000 (multiplicity 4)
4 Ru 0.0000 0.5000 0.5000 (multiplicity 2)
5 Ru 0.0726 0.7861 0.5000 (multiplicity 8)



Record 5
Tm2GaB2Ru5 after structural relaxation. Source: Alexandria via LeMat-Bulk, functional PBE-GGA.

Results
The density is 11.0 g/cm³. The crystal system is tetragonal. The value obtained for the formation energy is -0.51 eV per atom.

abc: 9.5240 9.5240 3.1041
angles: 90.00 90.00 90.00
Space group P4/mbm (No. 127)
Unique sites:
1 Tm 0.1761 0.3239 0.0000 (multiplicity 4)
2 Ga 0.0000 0.0000 0.0000 (multiplicity 2)
3 B 0.1246 0.6246 0.0000 (multiplicity 4)
4 Ru 0.0000 0.5000 0.5000 (multiplicity 2)
5 Ru 0.0691 0.7824 0.5000 (multiplicity 8)



Record 6
Tm3Ga2BRu3 after structural relaxation. Source: Alexandria via LeMat-Bulk, functional PBE-GGA.

Results
The density is 10.5 g/cm³. The crystal system is hexagonal. The value obtained for the formation energy is -0.53 eV per atom.

abc: 7.1818 7.1818 3.4142
angles: 90.00 90.00 120.00
Space group P-62m (No. 189)
Unique sites:
1 Tm 0.0000 0.3646 0.0000 (multiplicity 3)
2 Ga 0.3333 0.6667 0.5000 (multiplicity 2)
3 B 0.0000 0.0000 0.0000 (multiplicity 1)
4 Ru 0.0000 0.7689 0.5000 (multiplicity 3)



no.,D(E_F) (states/eV/f.u.)
1,3.35
2,5.45
3,7.18
4,7.74
5,11.24
6,4.84